*w*
NdSm3Tl3: optimized geometry, PBE.

Lattice parameters (Å, degrees): 9.671 9.671 5.292 90.00 90.00 120.00
Sites, in units of the cell vectors:
Nd  0.333  0.667  0.250
Nd  0.667  0.333  0.750
Sm  0.002  0.764  0.750
Sm  0.236  0.238  0.750
Sm  0.238  0.002  0.250
Sm  0.762  0.998  0.750
Sm  0.764  0.762  0.250
Sm  0.998  0.236  0.250
Tl  0.069  0.449  0.750
Tl  0.380  0.931  0.750
Tl  0.449  0.380  0.250
Tl  0.551  0.620  0.750
Tl  0.620  0.069  0.250
Tl  0.931  0.551  0.250

Computed properties:
The volume is 429 Å³ per cell. Its spin magnetization is 0.0 Bohr magnetons per cell.

*x*
NdSm3Tl3: optimized geometry, PBE.

Lattice parameters (Å, degrees): 9.544 9.544 9.544 90.00 90.00 90.00
Sites, in units of the cell vectors:
Nd  0.074  0.426  0.574
Nd  0.426  0.574  0.074
Nd  0.574  0.074  0.426
Nd  0.926  0.926  0.926
Sm  0.075  0.575  0.925
Sm  0.177  0.823  0.323
Sm  0.178  0.178  0.178
Sm  0.322  0.822  0.678
Sm  0.323  0.177  0.823
Sm  0.425  0.425  0.425
Sm  0.575  0.925  0.075
Sm  0.677  0.677  0.677
Sm  0.678  0.322  0.822
Sm  0.822  0.678  0.322
Sm  0.823  0.323  0.177
Sm  0.925  0.075  0.575
Tl  0.000  0.252  0.878
Tl  0.000  0.752  0.622
Tl  0.122  0.500  0.248
Tl  0.248  0.122  0.500
Tl  0.252  0.878  0.000
Tl  0.378  0.500  0.748
Tl  0.500  0.248  0.122
Tl  0.500  0.748  0.378
Tl  0.622  0.000  0.752
Tl  0.748  0.378  0.500
Tl  0.752  0.622  0.000
Tl  0.878  0.000  0.252

Computed properties:
The volume is 869 Å³ per cell. Its spin magnetization is 0.0 Bohr magnetons per cell.

Which one is most stable, and which one is least stable? *x* is the most stable of them, while *w* is the least stable.

*w*
Nd2Sm4Tl: optimized geometry, PBE.

Lattice parameters (Å, degrees): 6.409 10.898 6.641 90.00 90.07 90.00
Sites, in units of the cell vectors:
Nd  0.244  0.041  0.499
Nd  0.244  0.459  0.999
Nd  0.756  0.541  0.001
Nd  0.756  0.959  0.501
Sm  0.071  0.154  0.999
Sm  0.071  0.346  0.499
Sm  0.398  0.750  0.250
Sm  0.398  0.750  0.750
Sm  0.602  0.250  0.250
Sm  0.602  0.250  0.750
Sm  0.929  0.654  0.501
Sm  0.929  0.846  0.001
Tl  0.500  0.000  0.000
Tl  0.500  0.500  0.500

Computed properties:
The volume is 464 Å³ per cell. Its spin magnetization is 0.0 Bohr magnetons per cell.

*x*
Nd2Sm4Tl: optimized geometry, PBE.

Lattice parameters (Å, degrees): 8.645 8.645 8.737 116.41 116.41 23.77
Sites, in units of the cell vectors:
Nd  0.219  0.219  0.143
Nd  0.781  0.781  0.857
Sm  0.077  0.077  0.705
Sm  0.366  0.366  0.598
Sm  0.634  0.634  0.402
Sm  0.923  0.923  0.295
Tl  0.000  0.000  0.000

Computed properties:
The volume is 234 Å³ per cell. Its spin magnetization is 0.0 Bohr magnetons per cell.

Which one is most stable, and which one is least stable? *w* is the most stable of them, while *x* is the least stable.